No. 1
The following is a PBE calculation of an optimized crystal structure of Sn3RhO, from Alexandria via LeMat-Bulk.

Summary:
M_tot = 0.00 μB per formula unit
Polymorph energy (0 for the lowest one) = 0 kJ/mol of formula units
Formation energy without anion corrections = -0.071 eV per atom

Cell: 4.660 4.660 4.660 Å, 90.00 90.00 90.00°
Element x y z (fractional)
Sn 0.000 0.000 0.500
Sn 0.000 0.500 0.000
Sn 0.500 0.000 0.000
Rh 0.500 0.500 0.500
O 0.000 0.000 0.000


No. 2
The following is a PBE calculation of an optimized crystal structure of Sn2RhO, from Alexandria via LeMat-Bulk.

Summary:
M_tot = 0.00 μB per formula unit
Formation energy without anion corrections = -0.461 eV per atom

Cell: 5.907 5.907 5.907 Å, 115.61 115.61 97.78°
Element x y z (fractional)
Sn 0.081 0.625 0.956
Sn 0.375 0.331 0.456
Sn 0.669 0.125 0.044
Sn 0.875 0.919 0.544
Rh 0.250 0.750 0.500
Rh 0.500 0.500 0.000
O 0.000 0.000 0.000
O 0.750 0.250 0.500


No. 3
The following is a PBE calculation of an optimized crystal structure of SnRh2O2, from Alexandria via LeMat-Bulk.

Summary:
M_tot = 0.00 μB per formula unit
Polymorph energy (0 for the lowest one) = 0 kJ/mol of formula units
Formation energy without anion corrections = -0.099 eV per atom

Cell: 5.775 5.775 5.775 Å, 143.66 143.66 52.34°
Element x y z (fractional)
Sn 0.000 0.000 0.000
Rh 0.371 0.371 0.000
Rh 0.629 0.629 0.000
O 0.250 0.750 0.500
O 0.750 0.250 0.500


No. 4
The following is a PBE calculation of an optimized crystal structure of SnRh2O2, from Alexandria via LeMat-Bulk.

Summary:
M_tot = 0.00 μB per formula unit
Polymorph energy (0 for the lowest one) = 69 kJ/mol of formula units
Formation energy without anion corrections = 0.043 eV per atom

Cell: 7.283 7.283 2.848 Å, 90.00 90.00 90.00°
Element x y z (fractional)
Sn 0.000 0.000 0.000
Sn 0.500 0.500 0.000
Rh 0.120 0.380 0.000
Rh 0.380 0.880 0.000
Rh 0.620 0.120 0.000
Rh 0.880 0.620 0.000
O 0.245 0.745 0.500
O 0.255 0.245 0.500
O 0.745 0.755 0.500
O 0.755 0.255 0.500


No. 5
The following is a PBE calculation of an optimized crystal structure of TcSn2RhO, from Alexandria via LeMat-Bulk.

Summary:
M_tot = 2.85 μB per formula unit
Formation energy without anion corrections = 0.410 eV per atom

Cell: 5.359 5.359 3.610 Å, 90.00 90.00 90.00°
Element x y z (fractional)
Tc 0.000 0.000 0.000
Sn 0.000 0.500 0.500
Sn 0.500 0.000 0.500
Rh 0.500 0.500 0.500
O 0.500 0.500 0.000


No. 6
The following is a PBE calculation of an optimized crystal structure of SnTeRhO6, from Alexandria via LeMat-Bulk.

Summary:
M_tot = 0.00 μB per formula unit
Formation energy without anion corrections = -1.011 eV per atom

Cell: 5.274 5.274 9.214 Å, 90.00 90.00 120.00°
Element x y z (fractional)
Sn 0.000 0.000 0.000
Sn 0.000 0.000 0.500
Te 0.333 0.667 0.250
Te 0.667 0.333 0.750
Rh 0.333 0.667 0.750
Rh 0.667 0.333 0.250
O 0.001 0.346 0.129
O 0.001 0.655 0.371
O 0.345 0.346 0.371
O 0.345 0.999 0.129
O 0.346 0.001 0.629
O 0.346 0.345 0.871
O 0.654 0.655 0.129
O 0.654 0.999 0.371
O 0.655 0.001 0.871
O 0.655 0.654 0.629
O 0.999 0.345 0.629
O 0.999 0.654 0.871


No. 7
The following is a PBE calculation of an optimized crystal structure of USnRhO6, from Alexandria via LeMat-Bulk.

Summary:
M_tot = 0.95 μB per formula unit
Formation energy without anion corrections = -1.775 eV per atom

Cell: 5.465 5.465 8.832 Å, 90.00 90.00 120.00°
Element x y z (fractional)
U 0.333 0.667 0.250
U 0.667 0.333 0.750
Sn 0.333 0.667 0.750
Sn 0.667 0.333 0.250
Rh 0.000 0.000 0.000
Rh 0.000 0.000 0.500
O 0.005 0.333 0.625
O 0.005 0.672 0.875
O 0.328 0.333 0.875
O 0.328 0.995 0.625
O 0.333 0.005 0.125
O 0.333 0.328 0.375
O 0.667 0.672 0.625
O 0.667 0.995 0.875
O 0.672 0.005 0.375
O 0.672 0.667 0.125
O 0.995 0.328 0.125
O 0.995 0.667 0.375


No. 8
The following is a PBE calculation of an optimized crystal structure of ZrSn2RhO, from Alexandria via LeMat-Bulk.

Summary:
M_tot = 0.00 μB per formula unit
Formation energy without anion corrections = -0.081 eV per atom

Cell: 5.518 5.518 3.609 Å, 90.00 90.00 90.00°
Element x y z (fractional)
Zr 0.000 0.000 0.000
Sn 0.000 0.500 0.500
Sn 0.500 0.000 0.500
Rh 0.500 0.500 0.500
O 0.500 0.500 0.000


No. 9
The following is a PBE calculation of an optimized crystal structure of Sr12Rh3O5, from Alexandria via LeMat-Bulk.

Summary:
M_tot = 0.00 μB per formula unit
Formation energy without anion corrections = -1.344 eV per atom

Cell: 14.158 14.158 14.158 Å, 109.47 109.47 109.47°
Element x y z (fractional)
Sr 0.022 0.203 0.124
Sr 0.022 0.319 0.898
Sr 0.079 0.703 0.681
Sr 0.079 0.876 0.398
Sr 0.102 0.624 0.421
Sr 0.102 0.978 0.681
Sr 0.124 0.022 0.203
Sr 0.124 0.602 0.921
Sr 0.181 0.203 0.579
Sr 0.181 0.478 0.602
Sr 0.203 0.124 0.022
Sr 0.203 0.579 0.181
Sr 0.297 0.319 0.921
Sr 0.297 0.478 0.376
Sr 0.319 0.898 0.022
Sr 0.319 0.921 0.297
Sr 0.376 0.297 0.478
Sr 0.376 0.579 0.898
Sr 0.398 0.079 0.876
Sr 0.398 0.819 0.522
Sr 0.421 0.102 0.624
Sr 0.421 0.819 0.797
Sr 0.478 0.376 0.297
Sr 0.478 0.602 0.181
Sr 0.522 0.398 0.819
Sr 0.522 0.624 0.703
Sr 0.579 0.181 0.203
Sr 0.579 0.898 0.376
Sr 0.602 0.181 0.478
Sr 0.602 0.921 0.124
Sr 0.624 0.421 0.102
Sr 0.624 0.703 0.522
Sr 0.681 0.079 0.703
Sr 0.681 0.102 0.978
Sr 0.703 0.522 0.624
Sr 0.703 0.681 0.079
Sr 0.797 0.421 0.819
Sr 0.797 0.876 0.978
Sr 0.819 0.522 0.398
Sr 0.819 0.797 0.421
Sr 0.876 0.398 0.079
Sr 0.876 0.978 0.797
Sr 0.898 0.022 0.319
Sr 0.898 0.376 0.579
Sr 0.921 0.124 0.602
Sr 0.921 0.297 0.319
Sr 0.978 0.681 0.102
Sr 0.978 0.797 0.876
Rh 0.125 0.250 0.375
Rh 0.125 0.375 0.750
Rh 0.250 0.375 0.125
Rh 0.250 0.875 0.625
Rh 0.375 0.125 0.250
Rh 0.375 0.750 0.125
Rh 0.625 0.250 0.875
Rh 0.625 0.875 0.750
Rh 0.750 0.125 0.375
Rh 0.750 0.625 0.875
Rh 0.875 0.625 0.250
Rh 0.875 0.750 0.625
O 0.000 0.000 0.000
O 0.000 0.000 0.500
O 0.000 0.500 0.000
O 0.000 0.500 0.500
O 0.125 0.750 0.875
O 0.125 0.875 0.250
O 0.250 0.125 0.875
O 0.250 0.625 0.375
O 0.375 0.250 0.625
O 0.375 0.625 0.750
O 0.500 0.000 0.000
O 0.500 0.000 0.500
O 0.500 0.500 0.000
O 0.500 0.500 0.500
O 0.625 0.375 0.250
O 0.625 0.750 0.375
O 0.750 0.375 0.625
O 0.750 0.875 0.125
O 0.875 0.125 0.750
O 0.875 0.250 0.125


No. 10
The following is a PBE calculation of an optimized crystal structure of SrRhO2, from Alexandria via LeMat-Bulk.

Summary:
M_tot = 0.00 μB per formula unit
Formation energy without anion corrections = -1.249 eV per atom

Cell: 6.851 6.851 6.851 Å, 139.88 139.88 58.03°
Element x y z (fractional)
Sr 0.000 0.000 0.000
Sr 0.750 0.250 0.500
Rh 0.250 0.750 0.500
Rh 0.500 0.500 0.000
O 0.203 0.625 0.078
O 0.375 0.453 0.578
O 0.547 0.125 0.922
O 0.875 0.797 0.422


No. 11
The following is a PBE calculation of an optimized crystal structure of Sr2RhO, from Alexandria via LeMat-Bulk.

Summary:
M_tot = 0.00 μB per formula unit
Formation energy without anion corrections = -1.003 eV per atom

Cell: 6.464 6.464 6.464 Å, 115.17 115.17 98.59°
Element x y z (fractional)
Sr 0.056 0.125 0.431
Sr 0.375 0.944 0.069
Sr 0.694 0.625 0.569
Sr 0.875 0.306 0.931
Rh 0.250 0.750 0.500
Rh 0.500 0.500 0.000
O 0.000 0.000 0.000
O 0.750 0.250 0.500


No. 12
The following is a PBE calculation of an optimized crystal structure of Sr2Rh2O, from Alexandria via LeMat-Bulk.

Summary:
M_tot = 0.00 μB per formula unit
Polymorph energy (0 for the lowest one) = 346 kJ/mol of formula units
Formation energy without anion corrections = -0.044 eV per atom

Cell: 6.906 6.906 4.365 Å, 90.00 90.00 90.00°
Element x y z (fractional)
Sr 0.181 0.319 0.000
Sr 0.319 0.819 0.000
Sr 0.681 0.181 0.000
Sr 0.819 0.681 0.000
Rh 0.134 0.634 0.500
Rh 0.366 0.134 0.500
Rh 0.634 0.866 0.500
Rh 0.866 0.366 0.500
O 0.000 0.000 0.500
O 0.500 0.500 0.500


No. 13
The following is a PBE calculation of an optimized crystal structure of Sr2RhO6, from Alexandria via LeMat-Bulk.

Summary:
M_tot = 0.95 μB per formula unit
Formation energy without anion corrections = -1.180 eV per atom

Cell: 6.181 6.181 3.786 Å, 93.97 93.97 58.93°
Element x y z (fractional)
Sr 0.170 0.170 0.210
Sr 0.830 0.830 0.790
Rh 0.500 0.500 0.500
O 0.145 0.595 0.306
O 0.284 0.716 0.000
O 0.405 0.855 0.694
O 0.595 0.145 0.306
O 0.716 0.284 0.000
O 0.855 0.405 0.694


No. 14
The following is a PBE calculation of an optimized crystal structure of SrRhO2, from Alexandria via LeMat-Bulk.

Summary:
M_tot = 0.00 μB per formula unit
Formation energy without anion corrections = -1.403 eV per atom

Cell: 6.428 3.166 11.396 Å, 90.00 90.00 90.00°
Element x y z (fractional)
Sr 0.123 0.250 0.161
Sr 0.377 0.750 0.661
Sr 0.623 0.250 0.339
Sr 0.877 0.750 0.839
Rh 0.117 0.750 0.427
Rh 0.383 0.250 0.927
Rh 0.617 0.750 0.073
Rh 0.883 0.250 0.573
O 0.085 0.250 0.712
O 0.197 0.750 0.972
O 0.303 0.250 0.472
O 0.415 0.750 0.212
O 0.585 0.250 0.788
O 0.697 0.750 0.528
O 0.803 0.250 0.028
O 0.915 0.750 0.288


No. 15
The following is a PBE calculation of an optimized crystal structure of Sr2Rh3O8, from Alexandria via LeMat-Bulk.

Summary:
M_tot = 1.16 μB per formula unit
Formation energy without anion corrections = -1.453 eV per atom

Cell: 6.578 6.578 5.376 Å, 107.87 107.87 57.65°
Element x y z (fractional)
Sr 0.221 0.221 0.168
Sr 0.779 0.779 0.832
Rh 0.245 0.755 0.500
Rh 0.500 0.500 0.000
Rh 0.755 0.245 0.500
O 0.101 0.101 0.463
O 0.184 0.620 0.112
O 0.380 0.816 0.888
O 0.406 0.406 0.592
O 0.594 0.594 0.408
O 0.620 0.184 0.112
O 0.816 0.380 0.888
O 0.899 0.899 0.537


No. 16
The following is a PBE calculation of an optimized crystal structure of SrRhO2, from Alexandria via LeMat-Bulk.

Summary:
M_tot = 2.99 μB per formula unit
Formation energy without anion corrections = -0.904 eV per atom

Cell: 4.232 4.232 4.232 Å, 60.00 60.00 60.00°
Element x y z (fractional)
Sr 0.000 0.000 0.000
Rh 0.500 0.500 0.500
O 0.250 0.250 0.250
O 0.750 0.750 0.750


No. 17
The following is a PBE calculation of an optimized crystal structure of Sr2Rh2O7, from Alexandria via LeMat-Bulk.

Summary:
M_tot = 0.52 μB per formula unit
Formation energy without anion corrections = -1.427 eV per atom

Cell: 7.457 7.457 7.457 Å, 60.00 60.00 60.00°
Element x y z (fractional)
Sr 0.000 0.000 0.000
Sr 0.000 0.000 0.500
Sr 0.000 0.500 0.000
Sr 0.500 0.000 0.000
Rh 0.000 0.500 0.500
Rh 0.500 0.000 0.500
Rh 0.500 0.500 0.000
Rh 0.500 0.500 0.500
O 0.125 0.125 0.125
O 0.180 0.180 0.570
O 0.180 0.570 0.180
O 0.180 0.570 0.570
O 0.430 0.430 0.820
O 0.430 0.820 0.430
O 0.430 0.820 0.820
O 0.570 0.180 0.180
O 0.570 0.180 0.570
O 0.570 0.570 0.180
O 0.820 0.430 0.430
O 0.820 0.430 0.820
O 0.820 0.820 0.430
O 0.875 0.875 0.875


No. 18
The following is a PBE calculation of an optimized crystal structure of Sr5RhO6, from Alexandria via LeMat-Bulk.

Summary:
M_tot = 0.97 μB per formula unit
Formation energy without anion corrections = -2.224 eV per atom

Cell: 6.252 6.252 6.140 Å, 98.82 98.82 120.77°
Element x y z (fractional)
Sr 0.000 0.000 0.000
Sr 0.170 0.830 0.500
Sr 0.338 0.662 0.000
Sr 0.662 0.338 0.000
Sr 0.830 0.170 0.500
Rh 0.500 0.500 0.500
O 0.080 0.410 0.244
O 0.273 0.273 0.724
O 0.410 0.080 0.244
O 0.590 0.920 0.756
O 0.727 0.727 0.276
O 0.920 0.590 0.756


No. 19
The following is a PBE calculation of an optimized crystal structure of Sr4RhO5, from Alexandria via LeMat-Bulk.

Summary:
M_tot = 0.22 μB per formula unit
Formation energy without anion corrections = -2.150 eV per atom

Cell: 6.122 6.122 6.122 Å, 100.35 100.35 129.85°
Element x y z (fractional)
Sr 0.101 0.292 0.393
Sr 0.292 0.899 0.191
Sr 0.708 0.101 0.809
Sr 0.899 0.708 0.607
Rh 0.500 0.500 0.000
O 0.000 0.000 0.000
O 0.222 0.591 0.812
O 0.409 0.222 0.631
O 0.591 0.778 0.369
O 0.778 0.409 0.188